Density functional theory data (GGA-PBE) for Pr2HoTm after structural relaxation.

a = 7.385 Å, b = 12.584 Å, c = 5.799 Å
α = 90.00°, β = 90.00°, γ = 90.00°
Space group Cmcm (No. 63)
Asymmetric unit:
Pr1 0.250 0.165 0.250 x8
Ho1 0.000 0.083 0.750 x4
Tm1 0.000 0.417 0.250 x4

Output
- energy of formation (eV/atom) = 0.02

Density functional theory data (GGA-PBE) for Pr5HoTm6 after structural relaxation.

a = 5.112 Å, b = 9.984 Å, c = 15.316 Å
α = 90.00°, β = 90.00°, γ = 90.00°
Space group Immm (No. 71)
Asymmetric unit:
Pr1 0.000 0.000 0.000 x2
Pr2 0.000 0.000 0.336 x4
Pr3 0.000 0.500 0.333 x4
Ho1 0.000 0.500 0.000 x2
Tm1 0.000 0.248 0.500 x4
Tm2 0.000 0.251 0.166 x8

Output
- energy of formation (eV/atom) = 0.03

Density functional theory data (GGA-PBE) for Pr7HoTm4 after structural relaxation.

a = 16.202 Å, b = 6.028 Å, c = 9.531 Å
α = 90.00°, β = 117.44°, γ = 90.00°
Space group C2/m (No. 12)
Asymmetric unit:
Pr1 0.000 0.000 0.000 x2
Pr2 0.088 0.500 0.454 x4
Pr3 0.212 0.500 0.889 x4
Pr4 0.219 0.500 0.250 x4
Ho1 0.000 0.500 0.000 x2
Tm1 0.067 0.000 0.700 x4
Tm2 0.168 0.000 0.370 x4

Output
- energy of formation (eV/atom) = 0.21

Density functional theory data (GGA-PBE) for Pr5Ho3Tm after structural relaxation.

a = 9.411 Å, b = 9.411 Å, c = 14.210 Å
α = 90.00°, β = 90.00°, γ = 90.00°
Space group I4/mcm (No. 140)
Asymmetric unit:
Pr1 0.000 0.000 0.000 x4
Pr2 0.201 0.299 0.133 x16
Ho1 0.000 0.000 0.250 x4
Ho2 0.109 0.391 0.500 x8
Tm1 0.000 0.500 0.250 x4

Output
- energy of formation (eV/atom) = 0.31

Which formula does entry 1 have?
Pr2HoTm